## Cs2TmTe3 (GGA-PBE)

Data for an optimized crystal structure of Cs2TmTe3.

Cell lengths 9.683, 9.683, 9.683 Å; angles 155.46, 137.60, 49.60 degrees
Positions (direct):
Cs 0.183 0.183 0.000
Cs 0.817 0.817 0.000
Tm 0.500 0.500 0.000
Te 0.000 0.500 0.500
Te 0.376 0.876 0.500
Te 0.624 0.124 0.500


## CsTmTe2 (GGA-PBE)

Data for an optimized crystal structure of CsTmTe2.

Cell lengths 9.347, 9.347, 9.347 Å; angles 27.85, 27.85, 27.85 degrees
Positions (direct):
Cs 0.000 0.000 0.000
Tm 0.832 0.832 0.832
Te 0.228 0.228 0.228
Te 0.436 0.436 0.436


Calculated density of states at the Fermi level (states/eV/cell), listed in the same order as above: 1.071 0.000
Calculated raw formation energy (meV per atom), listed in the same order as above: -1012 -1350